Here is an optimized crystal structure of K3TmAg2F9 from the Alexandria database. Energies are from PBE-GGA.

The structure belongs to space group P-3m1 (No. 164); the cell edges are 6.3255, 6.3255 and 7.9007 Å and the angles 90.00°, 90.00° and 120.00°. Symmetry generates all atoms from K at (0.0000, 0.0000, 0.0000), K at (0.3333, 0.6667, 0.7314), Tm at (0.0000, 0.0000, 0.5000), Ag at (0.3333, 0.6667, 0.1725), F at (0.0000, 0.5000, 0.0000) and F at (0.1555, 0.3110, 0.3374).

As for the volume: 273.8 Å³ per cell. The value obtained for the total moment is 1.07 μB/cell. The value obtained for the density of states at the Fermi level is 0.2139 states/eV/atom. The value obtained for the uncorrected formation energy is -38.892 eV/f.u.

Here is an optimized crystal structure of Re2TeSe from the Alexandria database. Energies are from PBE-GGA.

The structure belongs to space group P4/mmm (No. 123); the cell edges are 4.551, 4.551 and 3.225 Å and the angles 90.00°, 90.00° and 90.00°. Symmetry generates all atoms from Re at (0.000, 0.500, 0.000), Te at (0.000, 0.000, 0.500) and Se at (0.500, 0.500, 0.500).

The calculation puts the energy relative to the lowest polymorph listed for this composition at 0.5666 eV/atom. As for the volume: 66.8 Å³ per cell. The value obtained for the total moment is 0.00 μB/cell. The value obtained for the density of states at the Fermi level is 0.6795 states/eV/atom. The value obtained for the uncorrected formation energy is 3.165 eV/f.u.

Here is an optimized crystal structure of Ca2Be2TlPd5 from the Alexandria database. Energies are from PBE-GGA.

The structure belongs to space group P4/mbm (No. 127); the cell edges are 9.914, 9.914 and 3.441 Å and the angles 90.00°, 90.00° and 90.00°. Symmetry generates all atoms from Ca at (0.178, 0.322, 0.000), Be at (0.119, 0.619, 0.000), Tl at (0.000, 0.000, 0.000), Pd at (0.000, 0.500, 0.500) and Pd at (0.069, 0.776, 0.500).

As for the total energy: -4.587 eV per atom. As for the volume: 338.2 Å³ per cell. The value obtained for the total moment is 0.00 μB/cell. The value obtained for the density of states at the Fermi level is 0.3285 states/eV/atom.

Here is an optimized crystal structure of K3BaSc from the Alexandria database. Energies are from PBE-GGA.

The structure belongs to space group Pm-3m (No. 221); the cell edges are 6.952, 6.952 and 6.952 Å and the angles 90.00°, 90.00° and 90.00°. Symmetry generates all atoms from K at (0.000, 0.000, 0.500), Ba at (0.500, 0.500, 0.500) and Sc at (0.000, 0.000, 0.000).

The calculation puts the energy relative to the lowest polymorph listed for this composition at 0.0000 eV/atom. As for the volume: 336.0 Å³ per cell. The value obtained for the total moment is 3.69 μB/cell. The value obtained for the density of states at the Fermi level is 2.4682 states/eV/atom.

Here is an optimized crystal structure of ErTmCrRu from the Alexandria database. Energies are from PBE-GGA.

The structure belongs to space group F-43m (No. 216); the cell edges are 6.859, 6.859 and 6.859 Å and the angles 90.00°, 90.00° and 90.00°. Symmetry generates all atoms from Er at (0.000, 0.000, 0.000), Tm at (0.000, 0.000, 0.500), Cr at (0.250, 0.250, 0.250) and Ru at (0.250, 0.250, 0.750).

As for the total energy: -7.063 eV per atom. As for the volume: 322.7 Å³ per cell. The value obtained for the total moment is 14.34 μB/cell. The value obtained for the density of states at the Fermi level is 0.7660 states/eV/atom.

Here is an optimized crystal structure of NaAs2O2 from the Alexandria database. Energies are from PBE-GGA.

The structure belongs to space group P4/mbm (No. 127); the cell edges are 7.592, 7.592 and 3.413 Å and the angles 90.00°, 90.00° and 90.00°. Symmetry generates all atoms from Na at (0.000, 0.000, 0.000), As at (0.130, 0.370, 0.000) and O at (0.216, 0.284, 0.500).

The calculation puts the energy relative to the lowest polymorph listed for this composition at 0.0000 eV/atom. As for the volume: 196.7 Å³ per cell. The value obtained for the total moment is 0.00 μB/cell. The value obtained for the density of states at the Fermi level is 0.9263 states/eV/atom. The value obtained for the uncorrected formation energy is -2.225 eV/f.u.

Here is an optimized crystal structure of Er2HfW from the Alexandria database. Energies are from PBE-GGA.

The structure belongs to space group R-3m (No. 166, hexagonal axes); the cell edges are 3.1291, 3.1291 and 33.0758 Å and the angles 90.00°, 90.00° and 120.00°. Symmetry generates all atoms from Er at (0.0000, 0.0000, 0.0852), Hf at (0.0000, 0.0000, 0.5000) and W at (0.0000, 0.0000, 0.0000).

As for the total energy: -7.256 eV per atom. As for the volume: 280.5 Å³ per cell. The value obtained for the total moment is 0.06 μB/cell. The value obtained for the density of states at the Fermi level is 1.1295 states/eV/atom.

Here is an optimized crystal structure of TaCd2H from the Alexandria database. Energies are from PBE-GGA.

The structure belongs to space group Fm-3m (No. 225); the cell edges are 6.632, 6.632 and 6.632 Å and the angles 90.00°, 90.00° and 90.00°. Symmetry generates all atoms from Ta at (0.000, 0.000, 0.000), Cd at (0.250, 0.250, 0.250) and H at (0.000, 0.000, 0.500).

The calculation puts the energy relative to the lowest polymorph listed for this composition at 0.3789 eV/atom. As for the volume: 291.7 Å³ per cell. The value obtained for the total moment is 0.00 μB/cell. The value obtained for the density of states at the Fermi level is 0.3505 states/eV/atom.

Here is an optimized crystal structure of RbYSiSe4 from the Alexandria database. Energies are from PBE-GGA.

The structure belongs to space group P2_1/m (No. 11); the cell edges are 6.694, 7.007 and 9.451 Å and the angles 90.00°, 108.17° and 90.00°. Symmetry generates all atoms from Rb at (0.244, 0.250, 0.439), Y at (0.271, 0.250, 0.950), Si at (0.280, 0.750, 0.167), Se at (0.071, 0.750, 0.925), Se at (0.083, 0.750, 0.323) and Se at (0.491, 0.504, 0.795).

As for the volume: 421.2 Å³ per cell. The value obtained for the total moment is 0.00 μB/cell. The value obtained for the density of states at the Fermi level is 0.0000 states/eV/atom. The value obtained for the uncorrected formation energy is -8.617 eV/f.u.

Here is an optimized crystal structure of TlInSiSe4 from the Alexandria database. Energies are from PBE-GGA.

The structure belongs to space group Cmcm (No. 63); the cell edges are 8.951, 13.012 and 7.806 Å and the angles 90.00°, 90.00° and 90.00°. Symmetry generates all atoms from Tl at (0.000, 0.000, 0.000), In at (0.000, 0.375, 0.250), Si at (0.000, 0.367, 0.750), Se at (0.000, 0.255, 0.521) and Se at (0.203, 0.477, 0.750).

As for the volume: 909.2 Å³ per cell. The value obtained for the total moment is 0.00 μB/cell. The value obtained for the density of states at the Fermi level is 0.0064 states/eV/atom. The value obtained for the uncorrected formation energy is -3.157 eV/f.u.

Here is an optimized crystal structure of TaCoIr from the Alexandria database. Energies are from PBE-GGA.

The structure belongs to space group Cc (No. 9); the cell edges are 4.790, 9.271 and 4.578 Å and the angles 90.00°, 120.45° and 90.00°. Symmetry generates all atoms from Ta at (0.000, 0.130, 0.000), Co at (0.311, 0.157, 0.667) and Ir at (0.133, 0.403, 0.819).

The calculation puts the energy relative to the lowest polymorph listed for this composition at 0.1311 eV/atom. As for the volume: 175.3 Å³ per cell. The value obtained for the total moment is 2.58 μB/cell. The value obtained for the density of states at the Fermi level is 1.0140 states/eV/atom.

Here is an optimized crystal structure of La3BiN from the Alexandria database. Energies are from PBE-GGA.

The structure belongs to space group P2_1/c (No. 14); the cell edges are 9.716, 6.666 and 9.650 Å and the angles 90.00°, 113.90° and 90.00°. Symmetry generates all atoms from La at (0.035, 0.099, 0.341), La at (0.168, 0.585, 0.530), La at (0.342, 0.150, 0.744), Bi at (0.363, 0.662, 0.888) and N at (0.083, 0.241, 0.604).

As for the volume: 571.4 Å³ per cell. The value obtained for the total moment is 0.00 μB/cell. The value obtained for the density of states at the Fermi level is 1.0121 states/eV/atom. The value obtained for the uncorrected formation energy is -4.346 eV/f.u.